(1)
# Ti5Ge4, optimized geometry, DFT PBE
# **ρ**: 6.04 g/cm3
data_Ti5Ge4
_symmetry_space_group_name_H-M 'P 1'
_symmetry_Int_Tables_number 1
_cell_length_a 6.685
_cell_length_b 6.781
_cell_length_c 12.856
_cell_angle_alpha 90.00
_cell_angle_beta 90.00
_cell_angle_gamma 90.00
loop_
_symmetry_equiv_pos_as_xyz
'x,y,z'
loop_
_atom_site_label
_atom_site_fract_x
_atom_site_fract_y
_atom_site_fract_z
Ge1 0.318 0.153 0.250
Ge2 0.307 0.036 0.960
Ge3 0.307 0.036 0.540
Ge4 0.807 0.464 0.960
Ge5 0.818 0.347 0.250
Ge6 0.193 0.536 0.460
Ge7 0.182 0.653 0.750
Ge8 0.193 0.536 0.040
Ge9 0.693 0.964 0.040
Ge10 0.807 0.464 0.540
Ge11 0.682 0.847 0.750
Ge12 0.954 0.110 0.750
Ge13 0.046 0.890 0.250
Ge14 0.454 0.390 0.750
Ge15 0.546 0.610 0.250
Ge16 0.693 0.964 0.460
Ti1 0.485 0.678 0.594
Ti2 0.351 0.834 0.126
Ti3 0.985 0.822 0.594
Ti4 0.515 0.322 0.406
Ti5 0.149 0.334 0.874
Ti6 0.351 0.834 0.374
Ti7 0.327 0.005 0.750
Ti8 0.485 0.678 0.906
Ti9 0.173 0.505 0.250
Ti10 0.649 0.166 0.874
Ti11 0.015 0.178 0.094
Ti12 0.673 0.995 0.250
Ti13 0.827 0.495 0.750
Ti14 0.649 0.166 0.626
Ti15 0.015 0.178 0.406
Ti16 0.515 0.322 0.094
Ti17 0.149 0.334 0.626
Ti18 0.851 0.666 0.374
Ti19 0.851 0.666 0.126
Ti20 0.985 0.822 0.906


(2)
# Ti4Ge3, optimized geometry, DFT PBE
# **ρ**: 5.98 g/cm3
data_Ti4Ge3
_symmetry_space_group_name_H-M 'P 1'
_symmetry_Int_Tables_number 1
_cell_length_a 3.436
_cell_length_b 3.436
_cell_length_c 9.925
_cell_angle_alpha 99.97
_cell_angle_beta 99.97
_cell_angle_gamma 90.00
loop_
_symmetry_equiv_pos_as_xyz
'x,y,z'
loop_
_atom_site_label
_atom_site_fract_x
_atom_site_fract_y
_atom_site_fract_z
Ti1 0.147 0.147 0.294
Ti2 0.573 0.573 0.145
Ti3 0.853 0.853 0.706
Ti4 0.427 0.427 0.855
Ge1 0.290 0.290 0.579
Ge2 0.710 0.710 0.421
Ge3 0.000 0.000 0.000


(3)
# Ti5Ge, optimized geometry, DFT PBE
# **ρ**: 5.23 g/cm3
# **Offset from the most stable computed form**: 0.00 eV per formula unit
data_Ti5Ge
_symmetry_space_group_name_H-M 'P 1'
_symmetry_Int_Tables_number 1
_cell_length_a 3.891
_cell_length_b 3.951
_cell_length_c 6.744
_cell_angle_alpha 107.03
_cell_angle_beta 90.00
_cell_angle_gamma 90.00
loop_
_symmetry_equiv_pos_as_xyz
'x,y,z'
loop_
_atom_site_label
_atom_site_fract_x
_atom_site_fract_y
_atom_site_fract_z
Ge1 0.000 0.000 0.000
Ti1 0.000 0.332 0.663
Ti2 0.500 0.165 0.329
Ti3 0.500 0.835 0.671
Ti4 0.500 0.500 0.000
Ti5 0.000 0.668 0.337


(4)
# Ti4Ge, optimized geometry, DFT PBE
# **ρ**: 5.42 g/cm3
# **Offset from the most stable computed form**: 0.00 eV per formula unit
data_Ti4Ge
_symmetry_space_group_name_H-M 'P 1'
_symmetry_Int_Tables_number 1
_cell_length_a 4.484
_cell_length_b 5.425
_cell_length_c 7.522
_cell_angle_alpha 111.14
_cell_angle_beta 107.34
_cell_angle_gamma 90.00
loop_
_symmetry_equiv_pos_as_xyz
'x,y,z'
loop_
_atom_site_label
_atom_site_fract_x
_atom_site_fract_y
_atom_site_fract_z
Ti1 0.097 0.347 0.193
Ti2 0.500 0.500 0.000
Ti3 0.698 0.202 0.397
Ti4 0.302 0.306 0.603
Ti5 0.698 0.694 0.397
Ti6 0.500 0.000 0.000
Ti7 0.302 0.798 0.603
Ti8 0.903 0.653 0.807
Ge1 0.112 0.862 0.224
Ge2 0.888 0.138 0.776


(5)
# Ti5Ge3, optimized geometry, DFT PBE
# **ρ**: 5.85 g/cm3
# **Offset from the most stable computed form**: 0.00 eV per formula unit
data_Ti5Ge3
_symmetry_space_group_name_H-M 'P 1'
_symmetry_Int_Tables_number 1
_cell_length_a 7.581
_cell_length_b 7.581
_cell_length_c 5.211
_cell_angle_alpha 90.00
_cell_angle_beta 90.00
_cell_angle_gamma 120.00
loop_
_symmetry_equiv_pos_as_xyz
'x,y,z'
loop_
_atom_site_label
_atom_site_fract_x
_atom_site_fract_y
_atom_site_fract_z
Ti1 0.667 0.333 0.500
Ti2 0.000 0.749 0.750
Ti3 0.251 0.251 0.750
Ti4 0.333 0.667 0.500
Ti5 0.333 0.667 0.000
Ti6 0.000 0.251 0.250
Ti7 0.667 0.333 0.000
Ti8 0.749 0.000 0.750
Ti9 0.749 0.749 0.250
Ti10 0.251 0.000 0.250
Ge1 0.611 0.611 0.750
Ge2 0.000 0.389 0.750
Ge3 0.389 0.389 0.250
Ge4 0.389 0.000 0.750
Ge5 0.611 0.000 0.250
Ge6 0.000 0.611 0.250


(6)
# Ti2Tl2Ge, optimized geometry, DFT PBE
# **ρ**: 9.20 g/cm3
data_Ti2Tl2Ge
_symmetry_space_group_name_H-M 'P 1'
_symmetry_Int_Tables_number 1
_cell_length_a 6.756
_cell_length_b 6.756
_cell_length_c 4.564
_cell_angle_alpha 90.00
_cell_angle_beta 90.00
_cell_angle_gamma 90.00
loop_
_symmetry_equiv_pos_as_xyz
'x,y,z'
loop_
_atom_site_label
_atom_site_fract_x
_atom_site_fract_y
_atom_site_fract_z
Ti1 0.345 0.845 0.000
Ti2 0.155 0.345 0.000
Ti3 0.655 0.155 0.000
Ti4 0.845 0.655 0.000
Tl1 0.161 0.661 0.500
Tl2 0.839 0.339 0.500
Tl3 0.661 0.839 0.500
Tl4 0.339 0.161 0.500
Ge1 0.500 0.500 0.000
Ge2 0.000 0.000 0.000


no.,ΔE_f (eV per atom),electronic total energy (eV per atom)
1,-0.688,-7.13
2,-0.423,-6.91
3,-0.255,-7.60
4,-0.261,-7.50
5,-0.698,-7.36
6,-0.059,-5.09